An optimized crystal structure of TiVCr, computed with PBE-GGA.

## Properties
Symmetry = No. 1
Total DFT energy (no corrections) = -8.853 eV per atom

Cell lengths 4.1876, 5.0052, 5.0374 Å; angles 63.82, 65.84, 65.47 degrees
Sites, in units of the cell vectors:
Ti 0.0000 0.0000 0.0000
Ti 0.3089 0.0216 0.3673
V 0.3444 0.4801 0.8306
V 0.6544 0.5039 0.1933
Cr 0.6657 0.9904 0.6815
Cr 0.9777 0.5247 0.5226

***

An optimized crystal structure of TiV2Cr2, computed with PBE-GGA.

## Properties
Symmetry = No. 11
Total DFT energy (no corrections) = -9.083 eV per atom

Cell lengths 2.9751, 4.3168, 10.4272 Å; angles 90.00, 97.85, 90.00 degrees
Sites, in units of the cell vectors:
Ti 0.1481 0.2500 0.2932
Ti 0.8519 0.7500 0.7068
V 0.0488 0.7500 0.0967
V 0.2431 0.7500 0.4834
V 0.7569 0.2500 0.5166
V 0.9512 0.2500 0.9033
Cr 0.3510 0.2500 0.7025
Cr 0.4543 0.7500 0.9105
Cr 0.5457 0.2500 0.0895
Cr 0.6490 0.7500 0.2975

***

An optimized crystal structure of TiV6Cr2, computed with PBE-GGA.

## Properties
Symmetry = No. 12
Total DFT energy (no corrections) = -9.118 eV per atom

Cell lengths 4.9774, 4.9774, 9.0456 Å; angles 108.12, 108.12, 34.59 degrees
Sites, in units of the cell vectors:
Ti 0.0000 0.0000 0.0000
V 0.0073 0.0073 0.3317
V 0.3226 0.3226 0.1191
V 0.3322 0.3322 0.4386
V 0.6678 0.6678 0.5614
V 0.6774 0.6774 0.8809
V 0.9927 0.9927 0.6683
Cr 0.3278 0.3278 0.7687
Cr 0.6722 0.6722 0.2313

***

An optimized crystal structure of TiV2Cr, computed with PBE-GGA.

## Properties
Symmetry = No. 122
Total DFT energy (no corrections) = -8.491 eV per atom

Cell lengths 5.3729, 5.3729, 5.3729 Å; angles 103.63, 103.63, 121.93 degrees
Sites, in units of the cell vectors:
Ti 0.0000 0.0000 0.0000
Ti 0.7500 0.2500 0.5000
V 0.1536 0.6250 0.0286
V 0.3750 0.4036 0.5286
V 0.5964 0.1250 0.9714
V 0.8750 0.8464 0.4714
Cr 0.2500 0.7500 0.5000
Cr 0.5000 0.5000 0.0000

***

An optimized crystal structure of TiV3Cr, computed with PBE-GGA.

## Properties
Symmetry = No. 221
Total DFT energy (no corrections) = -8.235 eV per atom

Cell lengths 4.3125, 4.3125, 4.3125 Å; angles 90.00, 90.00, 90.00 degrees
Sites, in units of the cell vectors:
Ti 0.0000 0.0000 0.0000
V 0.0000 0.5000 0.5000
V 0.5000 0.0000 0.5000
V 0.5000 0.5000 0.0000
Cr 0.5000 0.5000 0.5000

***

An optimized crystal structure of TiV3Cr8, computed with PBE-GGA.

## Properties
Symmetry = No. 162
Total DFT energy (no corrections) = -9.029 eV per atom

Cell lengths 4.8549, 4.8549, 7.5035 Å; angles 90.00, 90.00, 120.00 degrees
Sites, in units of the cell vectors:
Ti 0.0000 0.0000 0.0000
V 0.0000 0.0000 0.5000
V 0.3333 0.6667 0.5000
V 0.6667 0.3333 0.5000
Cr 0.0000 0.3467 0.7514
Cr 0.0000 0.6533 0.2486
Cr 0.3333 0.6667 0.0000
Cr 0.3467 0.0000 0.7514
Cr 0.3467 0.3467 0.2486
Cr 0.6533 0.0000 0.2486
Cr 0.6533 0.6533 0.7514
Cr 0.6667 0.3333 0.0000

***

An optimized crystal structure of TiV2Cr, computed with PBE-GGA.

## Properties
Symmetry = No. 123
Total DFT energy (no corrections) = -8.923 eV per atom

Cell lengths 2.9574, 2.9574, 6.3149 Å; angles 90.00, 90.00, 90.00 degrees
Sites, in units of the cell vectors:
Ti 0.0000 0.0000 0.0000
V 0.5000 0.5000 0.2780
V 0.5000 0.5000 0.7220
Cr 0.0000 0.0000 0.5000

***

An optimized crystal structure of TiVCr4, computed with PBE-GGA.

## Properties
Symmetry = No. 216
Total DFT energy (no corrections) = -9.307 eV per atom

Cell lengths 4.7989, 4.7989, 4.7989 Å; angles 60.00, 60.00, 60.00 degrees
Sites, in units of the cell vectors:
Ti 0.0000 0.0000 0.0000
V 0.7500 0.7500 0.7500
Cr 0.3751 0.3751 0.3751
Cr 0.3751 0.3751 0.8747
Cr 0.3751 0.8747 0.3751
Cr 0.8747 0.3751 0.3751

***

An optimized crystal structure of TiV2Cr, computed with PBE-GGA.

## Properties
Symmetry = No. 225
Total DFT energy (no corrections) = -8.884 eV per atom

Cell lengths 4.2601, 4.2601, 4.2601 Å; angles 60.00, 60.00, 60.00 degrees
Sites, in units of the cell vectors:
Ti 0.0000 0.0000 0.0000
V 0.2500 0.2500 0.2500
V 0.7500 0.7500 0.7500
Cr 0.5000 0.5000 0.5000

***

An optimized crystal structure of TiV14Cr, computed with PBE-GGA.

## Properties
Symmetry = No. 65
Total DFT energy (no corrections) = -9.060 eV per atom

Cell lengths 5.1962, 5.1962, 8.4987 Å; angles 90.00, 90.00, 109.00 degrees
Sites, in units of the cell vectors:
Ti 0.0000 0.0000 0.0000
V 0.0000 0.0000 0.5000
V 0.0000 0.5000 0.0000
V 0.0000 0.5000 0.5000
V 0.2461 0.7539 0.2511
V 0.2461 0.7539 0.7489
V 0.2610 0.2610 0.2506
V 0.2610 0.2610 0.7494
V 0.5000 0.0000 0.0000
V 0.5000 0.0000 0.5000
V 0.5000 0.5000 0.5000
V 0.7390 0.7390 0.2506
V 0.7390 0.7390 0.7494
V 0.7539 0.2461 0.2511
V 0.7539 0.2461 0.7489
Cr 0.5000 0.5000 0.0000

***

An optimized crystal structure of TiV3Cr, computed with PBE-GGA.

## Properties
Symmetry = No. 221
Total DFT energy (no corrections) = -7.638 eV per atom

Cell lengths 4.4035, 4.4035, 4.4035 Å; angles 90.00, 90.00, 90.00 degrees
Sites, in units of the cell vectors:
Ti 0.0000 0.0000 0.0000
V 0.0000 0.0000 0.5000
V 0.0000 0.5000 0.0000
V 0.5000 0.0000 0.0000
Cr 0.5000 0.5000 0.5000

***

An optimized crystal structure of TiVCr, computed with PBE-GGA.

## Properties
Symmetry = No. 12
Total DFT energy (no corrections) = -8.862 eV per atom

Cell lengths 5.0154, 5.0154, 5.5719 Å; angles 123.71, 123.71, 48.20 degrees
Sites, in units of the cell vectors:
Ti 0.1704 0.1704 0.0724
Ti 0.8296 0.8296 0.9276
V 0.1587 0.1587 0.5559
V 0.8413 0.8413 0.4441
Cr 0.4856 0.4856 0.7324
Cr 0.5144 0.5144 0.2676